## Dy2ThGa (PBE-GGA)

Data for a geometry-optimized Dy2ThGa structure.

a b c (Å): 3.5787 3.5787 30.9511
angles (deg): 90.00 90.00 120.00
Space group R3m (No. 160, hexagonal axes)
Unique sites:
Dy 0.0000 0.0000 0.0000 [3 per cell]
Dy 0.0000 0.0000 0.1915 [3 per cell]
Th 0.0000 0.0000 0.4293 [3 per cell]
Ga 0.0000 0.0000 0.5953 [3 per cell]

Output
Formation energy from the elements, eV per atom: -0.164
Size of the total moment, μB/f.u.: 0.00

---

## Dy4ThGa4 (PBE-GGA)

Data for a geometry-optimized Dy4ThGa4 structure.

a b c (Å): 10.011 10.011 4.833
angles (deg): 90.00 90.00 90.00
Space group I4/m (No. 87)
Unique sites:
Dy 0.130 0.355 0.000 [8 per cell]
Th 0.000 0.000 0.000 [2 per cell]
Ga 0.075 0.178 0.500 [8 per cell]

Output
Formation energy from the elements, eV per atom: -0.368
Size of the total moment, μB/f.u.: 0.00

---

## Dy2ThGa4 (PBE-GGA)

Data for a geometry-optimized Dy2ThGa4 structure.

a b c (Å): 4.148 4.308 18.321
angles (deg): 90.00 90.00 90.00
Space group Immm (No. 71)
Unique sites:
Dy 0.000 0.000 0.184 [4 per cell]
Th 0.000 0.500 0.500 [2 per cell]
Ga 0.000 0.000 0.352 [4 per cell]
Ga 0.000 0.500 0.068 [4 per cell]

Output
Formation energy from the elements, eV per atom: -0.645
Size of the total moment, μB/f.u.: 0.00

---

## DyThGa4 (PBE-GGA)

Data for a geometry-optimized DyThGa4 structure.

a b c (Å): 7.923 7.923 7.923
angles (deg): 90.00 90.00 90.00
Space group F-43m (No. 216)
Unique sites:
Dy 0.000 0.000 0.000 [4 per cell]
Th 0.250 0.250 0.750 [4 per cell]
Ga 0.125 0.125 0.375 [16 per cell]

Output
Formation energy from the elements, eV per atom: -0.480
Size of the total moment, μB/f.u.: 0.00